This record from the Alexandria database describes Sr2Pr2MnCuO8 after structural relaxation. The functional is PBE+U.

abc: 3.8610 3.8610 12.7070
angles: 90.00 90.00 90.00
With the nearest neighbours (Å) after each atom.
Positions (direct):
Sr  0.0000  0.0000  0.1425  9 O 2.52-2.78
Sr  0.0000  0.0000  0.8575  9 O 2.52-2.78
Pr  0.5000  0.5000  0.3610  1 O 2.26
Pr  0.5000  0.5000  0.6390  1 O 2.26
Mn  0.5000  0.5000  0.0000  4 O 1.93
Cu  0.0000  0.0000  0.5000  6 O 1.93-2.03
O  0.0000  0.0000  0.3405  1 Cu 2.03
O  0.0000  0.0000  0.6595  1 Cu 2.03
O  0.0000  0.5000  0.0000  2 Mn 1.93
O  0.0000  0.5000  0.5000  2 Cu 1.93
O  0.5000  0.0000  0.0000  2 Mn 1.93
O  0.5000  0.0000  0.5000  2 Cu 1.93
O  0.5000  0.5000  0.1832  1 Pr 2.26, 1 Mn 2.33
O  0.5000  0.5000  0.8168  1 Pr 2.26, 1 Mn 2.33

- space group = P4/mmm, No. 123
- relative energy among the computed polymorphs (meV per atom) = 0.0
- V (Å³/atom) = 13.53